No. 1
Material: LaScMn
Method: DFT, meta-GGA SCAN
State: PBEsol geometry

Unit cell a=3.238 b=3.238 c=12.653 alpha=90.00 beta=90.00 gamma=90.00
Space group I4mm (No. 107)
Symmetry-distinct sites (fractional):
La (0.000, 0.000, 0.000) [2 per cell]
Sc (0.000, 0.000, 0.739) [2 per cell]
Mn (0.000, 0.000, 0.353) [2 per cell]

* excess energy over the best structure of this formula in the dataset: 0.000 eV/atom
* calculated formation energy: 14.7 kJ per mole of atoms


No. 2
Material: MgSc2As
Method: DFT, meta-GGA SCAN
State: PBEsol geometry

Unit cell a=3.741 b=3.741 c=5.839 alpha=90.00 beta=90.00 gamma=90.00
Space group P4mm (No. 99)
Symmetry-distinct sites (fractional):
Mg (0.000, 0.000, 0.000) [1 per cell]
Sc (0.000, 0.000, 0.519) [1 per cell]
Sc (0.500, 0.500, 0.238) [1 per cell]
As (0.500, 0.500, 0.717) [1 per cell]

* calculated formation energy: -47.1 kJ per mole of atoms


No. 3
Material: Na3WO4F
Method: DFT, meta-GGA SCAN
State: PBEsol geometry

Unit cell a=5.562 b=7.527 c=12.886 alpha=90.00 beta=90.00 gamma=90.00
Space group Pnma (No. 62)
Symmetry-distinct sites (fractional):
Na (0.224, 0.038, 0.179) [8 per cell]
Na (0.226, 0.750, 0.894) [4 per cell]
W (0.209, 0.750, 0.416) [4 per cell]
O (0.115, 0.250, 0.580) [4 per cell]
O (0.177, 0.250, 0.045) [4 per cell]
O (0.188, 0.056, 0.849) [8 per cell]
F (0.005, 0.750, 0.731) [4 per cell]

* raw formation energy: -2.424 eV per atom


No. 4
Material: SrCr3S
Method: DFT, meta-GGA SCAN
State: PBEsol geometry

Unit cell a=5.343 b=5.343 c=5.343 alpha=90.00 beta=90.00 gamma=90.00
Space group Pm-3m (No. 221)
Symmetry-distinct sites (fractional):
Sr (0.000, 0.000, 0.000) [1 per cell]
Cr (0.000, 0.000, 0.500) [3 per cell]
S (0.500, 0.500, 0.500) [1 per cell]

* excess energy over the best structure of this formula in the dataset: 1.679 eV/atom
* raw formation energy: 2.074 eV per atom


No. 5
Material: HgOsRh
Method: DFT, meta-GGA SCAN
State: PBEsol geometry

Unit cell a=5.999 b=5.999 c=5.999 alpha=90.00 beta=90.00 gamma=90.00
Space group F-43m (No. 216)
Symmetry-distinct sites (fractional):
Hg (0.000, 0.000, 0.000) [4 per cell]
Os (0.000, 0.000, 0.500) [4 per cell]
Rh (0.250, 0.250, 0.750) [4 per cell]

* excess energy over the best structure of this formula in the dataset: 0.000 eV/atom
* calculated formation energy: 89.5 kJ per mole of atoms


No. 6
Material: BeHCl3
Method: DFT, meta-GGA SCAN
State: PBEsol geometry

Unit cell a=4.431 b=4.431 c=4.431 alpha=90.00 beta=90.00 gamma=90.00
Space group Pm-3m (No. 221)
Symmetry-distinct sites (fractional):
Be (0.000, 0.000, 0.000) [1 per cell]
H (0.500, 0.500, 0.500) [1 per cell]
Cl (0.000, 0.000, 0.500) [3 per cell]

* raw total energy: -6.397 eV/atom


No. 7
Material: TePt3
Method: DFT, meta-GGA SCAN
State: PBEsol geometry

Unit cell a=3.346 b=4.343 c=4.665 alpha=90.00 beta=90.00 gamma=90.00
Space group Pmm2 (No. 25)
Symmetry-distinct sites (fractional):
Te (0.000, 0.000, 0.000) [1 per cell]
Pt (0.000, 0.500, 0.627) [1 per cell]
Pt (0.500, 0.000, 0.507) [1 per cell]
Pt (0.500, 0.500, 0.138) [1 per cell]

* raw formation energy: 0.117 eV per atom


No. 8
Material: MgAg3
Method: DFT, meta-GGA SCAN
State: PBEsol geometry

Unit cell a=5.191 b=5.191 c=5.191 alpha=90.00 beta=90.00 gamma=90.00
Space group Pm-3n (No. 223)
Symmetry-distinct sites (fractional):
Mg (0.000, 0.000, 0.000) [2 per cell]
Ag (0.000, 0.250, 0.500) [6 per cell]

* excess energy over the best structure of this formula in the dataset: 0.100 eV/atom
* calculated formation energy: -5.8 kJ per mole of atoms